Entry 1:
LiSn2P3O12 after structural relaxation, computed with PBE.

Geometry as POSCAR:
```
LiSn2P3O12
1.0
-8.025 -1.035 -3.544
-4.439 -7.562 1.071
-7.174 -0.303 5.146
Sn O P Li
4 24 6 2
Direct
0.643 0.643 0.643 Sn
0.857 0.857 0.857 Sn
0.357 0.357 0.357 Sn
0.143 0.143 0.143 Sn
0.587 0.234 0.440 O
0.991 0.388 0.194 O
0.112 0.509 0.306 O
0.388 0.194 0.991 O
0.766 0.560 0.413 O
0.440 0.587 0.234 O
0.888 0.491 0.694 O
0.509 0.306 0.112 O
0.913 0.060 0.266 O
0.234 0.440 0.587 O
0.009 0.612 0.806 O
0.194 0.991 0.388 O
0.306 0.112 0.509 O
0.060 0.266 0.913 O
0.694 0.888 0.491 O
0.413 0.766 0.560 O
0.087 0.940 0.734 O
0.940 0.734 0.087 O
0.491 0.694 0.888 O
0.734 0.087 0.940 O
0.560 0.413 0.766 O
0.612 0.806 0.009 O
0.266 0.913 0.060 O
0.806 0.009 0.612 O
0.044 0.456 0.750 P
0.956 0.544 0.250 P
0.250 0.956 0.544 P
0.456 0.750 0.044 P
0.750 0.044 0.456 P
0.544 0.250 0.956 P
0.500 0.500 0.500 Li
0.000 0.000 0.000 Li
```

## Properties
Excess energy over the best structure of this formula in the dataset = 0.004 eV/atom
VASP energy = -6.8158 eV/atom
SG = No. 167
Magnetization = 0.00 μB/f.u.
Formation energy without anion corrections = -2.0576 eV per atom

Entry 2:
Li3Sn2P5O16 after structural relaxation, computed with PBE.

Geometry as POSCAR:
```
Li3Sn2P5O16
1.0
5.348 0.000 0.160
0.000 7.617 0.000
-1.251 0.000 18.644
O P Sn Li
32 10 4 6
Direct
0.151 0.378 0.299 O
0.313 0.651 0.347 O
0.055 0.158 0.928 O
0.849 0.622 0.701 O
0.590 0.027 0.646 O
0.484 0.216 0.538 O
0.526 0.372 0.386 O
0.526 0.628 0.886 O
0.313 0.349 0.847 O
0.516 0.784 0.462 O
0.913 0.560 0.568 O
0.687 0.349 0.653 O
0.484 0.784 0.038 O
0.945 0.842 0.072 O
0.055 0.842 0.428 O
0.814 0.861 0.791 O
0.516 0.216 0.962 O
0.474 0.628 0.614 O
0.186 0.139 0.209 O
0.849 0.378 0.201 O
0.590 0.973 0.146 O
0.087 0.440 0.432 O
0.687 0.651 0.153 O
0.474 0.372 0.114 O
0.151 0.622 0.799 O
0.913 0.440 0.068 O
0.945 0.158 0.572 O
0.410 0.973 0.354 O
0.814 0.139 0.291 O
0.410 0.027 0.854 O
0.186 0.861 0.709 O
0.087 0.560 0.932 O
0.272 0.547 0.873 P
0.272 0.453 0.373 P
0.000 0.243 0.250 P
0.000 0.757 0.750 P
0.728 0.547 0.627 P
0.320 0.179 0.902 P
0.680 0.821 0.098 P
0.728 0.453 0.127 P
0.320 0.821 0.402 P
0.680 0.179 0.598 P
0.730 0.878 0.916 Sn
0.270 0.122 0.084 Sn
0.730 0.122 0.416 Sn
0.270 0.878 0.584 Sn
0.500 0.981 0.750 Li
0.843 0.351 0.965 Li
0.500 0.019 0.250 Li
0.157 0.351 0.535 Li
0.157 0.649 0.035 Li
0.843 0.649 0.465 Li
```

## Properties
VASP energy = -6.7226 eV/atom
SG = No. 13
Magnetization = 0.00 μB/f.u.
Formation energy without anion corrections = -2.1023 eV per atom

Entry 3:
LiSnPO4 after structural relaxation, computed with PBE.

Geometry as POSCAR:
```
LiSnPO4
1.0
-5.493 -1.213 -0.167
3.135 -5.463 5.708
-1.596 7.902 4.906
Li P O Sn
4 4 16 4
Direct
0.127 0.011 0.372 Li
0.248 0.564 0.184 Li
0.873 0.989 0.628 Li
0.752 0.436 0.816 Li
0.197 0.256 0.902 P
0.723 0.234 0.452 P
0.277 0.766 0.548 P
0.803 0.744 0.098 P
0.907 0.136 0.488 O
0.547 0.852 0.568 O
0.855 0.695 0.931 O
0.145 0.305 0.069 O
0.932 0.940 0.159 O
0.050 0.346 0.818 O
0.203 0.596 0.420 O
0.193 0.707 0.691 O
0.797 0.404 0.580 O
0.532 0.700 0.121 O
0.807 0.293 0.309 O
0.068 0.060 0.841 O
0.950 0.654 0.182 O
0.093 0.864 0.512 O
0.468 0.300 0.879 O
0.453 0.148 0.432 O
0.205 0.399 0.614 Sn
0.795 0.601 0.386 Sn
0.218 0.863 0.912 Sn
0.782 0.137 0.088 Sn
```

## Properties
VASP energy = -6.4626 eV/atom
SG = No. 2
Magnetization = 0.00 μB/f.u.
Formation energy without anion corrections = -2.0112 eV per atom

Entry 4:
Li3Sn2P3O12 after structural relaxation, computed with PBE.

Geometry as POSCAR:
```
Li3Sn2P3O12
1.0
8.494 0.000 0.000
4.247 7.356 0.000
4.247 2.452 9.592
P O Sn Li
6 24 4 6
Direct
0.532 0.303 0.216 P
0.949 0.532 0.216 P
0.468 0.697 0.784 P
0.051 0.468 0.784 P
0.697 0.051 0.784 P
0.303 0.949 0.216 P
0.979 0.348 0.335 O
0.652 0.663 0.665 O
0.792 0.853 0.884 O
0.823 0.152 0.736 O
0.663 0.021 0.665 O
0.848 0.711 0.264 O
0.152 0.289 0.736 O
0.208 0.147 0.116 O
0.510 0.509 0.134 O
0.348 0.337 0.335 O
0.529 0.208 0.116 O
0.509 0.848 0.134 O
0.490 0.491 0.866 O
0.337 0.979 0.335 O
0.471 0.792 0.884 O
0.152 0.490 0.866 O
0.711 0.177 0.264 O
0.177 0.848 0.264 O
0.491 0.152 0.866 O
0.289 0.823 0.736 O
0.021 0.652 0.665 O
0.853 0.471 0.884 O
0.848 0.510 0.134 O
0.147 0.529 0.116 O
0.335 0.335 0.995 Sn
0.665 0.665 0.005 Sn
0.823 0.823 0.531 Sn
0.177 0.177 0.469 Sn
0.368 0.075 0.782 Li
0.925 0.225 0.218 Li
0.225 0.632 0.218 Li
0.775 0.368 0.782 Li
0.632 0.925 0.218 Li
0.075 0.775 0.782 Li
```

## Properties
Excess energy over the best structure of this formula in the dataset = 0.000 eV/atom
VASP energy = -6.5719 eV/atom
SG = No. 148
Magnetization = 0.00 μB/f.u.
Formation energy without anion corrections = -2.0981 eV per atom

Entry 5:
LiSnP4O12 after structural relaxation, computed with PBE.

Geometry as POSCAR:
```
LiSnP4O12
1.0
11.188 -0.041 0.511
3.883 10.492 0.511
1.226 0.850 5.501
O P Li Sn
24 8 2 2
Direct
0.883 0.621 0.289 O
0.297 0.554 0.258 O
0.301 0.933 0.662 O
0.446 0.703 0.742 O
0.699 0.067 0.338 O
0.703 0.446 0.742 O
0.147 0.601 0.944 O
0.102 0.352 0.290 O
0.780 0.220 0.000 O
0.352 0.102 0.290 O
0.379 0.117 0.711 O
0.898 0.648 0.710 O
0.933 0.301 0.662 O
0.621 0.883 0.289 O
0.847 0.847 0.369 O
0.117 0.379 0.711 O
0.853 0.399 0.056 O
0.153 0.153 0.631 O
0.399 0.853 0.056 O
0.067 0.699 0.338 O
0.554 0.297 0.258 O
0.648 0.898 0.710 O
0.601 0.147 0.944 O
0.220 0.780 0.000 O
0.694 0.922 0.434 P
0.809 0.356 0.870 P
0.191 0.644 0.130 P
0.644 0.191 0.130 P
0.306 0.078 0.566 P
0.078 0.306 0.566 P
0.356 0.809 0.870 P
0.922 0.694 0.434 P
0.607 0.607 0.612 Li
0.393 0.393 0.388 Li
0.500 0.000 0.000 Sn
0.000 0.500 0.000 Sn
```

## Properties
Excess energy over the best structure of this formula in the dataset = 0.044 eV/atom
VASP energy = -6.8511 eV/atom
SG = No. 12
Magnetization = 0.00 μB/f.u.
Formation energy without anion corrections = -2.0147 eV per atom

Entry 6:
LiSnP2O after structural relaxation, computed with PBE.

Geometry as POSCAR:
```
LiSnP2O
1.0
5.269 0.000 0.000
0.000 5.269 0.000
0.000 0.000 3.916
P O Sn Li
2 1 1 1
Direct
0.000 0.500 0.000 P
0.500 0.000 0.000 P
0.000 0.000 0.500 O
0.000 0.000 0.000 Sn
0.500 0.500 0.500 Li
```

## Properties
Excess energy over the best structure of this formula in the dataset = 0.000 eV/atom
VASP energy = -4.0621 eV/atom
SG = No. 123
Magnetization = 0.00 μB/f.u.
Formation energy without anion corrections = 0.2768 eV per atom

Entry 7:
LiSnP4O12 after structural relaxation, computed with PBE.

Geometry as POSCAR:
```
LiSnP4O12
1.0
7.545 -0.005 -0.007
-2.652 7.722 -0.191
3.190 3.030 9.139
O P Li Sn
24 8 2 2
Direct
0.139 0.339 0.064 O
0.822 0.342 0.653 O
0.791 0.499 0.432 O
0.463 0.477 0.834 O
0.480 0.804 0.408 O
0.553 0.732 0.950 O
0.121 0.777 0.570 O
0.280 0.692 0.855 O
0.177 0.658 0.347 O
0.956 0.831 0.313 O
0.860 0.662 0.936 O
0.028 0.621 0.162 O
0.250 0.138 0.909 O
0.719 0.308 0.145 O
0.972 0.380 0.838 O
0.350 0.198 0.325 O
0.447 0.269 0.050 O
0.537 0.523 0.166 O
0.209 0.502 0.568 O
0.043 0.169 0.688 O
0.879 0.223 0.430 O
0.750 0.862 0.092 O
0.650 0.802 0.675 O
0.520 0.197 0.592 O
0.011 0.341 0.692 P
0.743 0.295 0.524 P
0.491 0.685 0.818 P
0.692 0.707 0.035 P
0.307 0.293 0.965 P
0.989 0.660 0.308 P
0.257 0.706 0.476 P
0.509 0.316 0.182 P
0.744 0.898 0.271 Li
0.256 0.103 0.729 Li
0.000 0.500 0.000 Sn
0.000 0.000 0.500 Sn
```

## Properties
Excess energy over the best structure of this formula in the dataset = 0.000 eV/atom
VASP energy = -6.8947 eV/atom
SG = No. 2
Magnetization = 0.00 μB/f.u.
Formation energy without anion corrections = -2.0584 eV per atom

Entry 8:
LiSnP4O12 after structural relaxation, computed with PBE.

Geometry as POSCAR:
```
LiSnP4O12
1.0
-7.030 1.564 2.088
-0.491 -9.300 2.798
4.339 3.400 12.061
O P Sn Li
48 16 4 4
Direct
0.387 0.221 0.943 O
0.806 0.598 0.797 O
0.942 0.228 0.669 O
0.887 0.721 0.557 O
0.106 0.671 0.862 O
0.366 0.348 0.638 O
0.194 0.402 0.203 O
0.558 0.272 0.169 O
0.058 0.772 0.331 O
0.377 0.925 0.131 O
0.378 0.668 0.178 O
0.436 0.336 0.393 O
0.652 0.857 0.483 O
0.694 0.902 0.297 O
0.394 0.829 0.362 O
0.606 0.171 0.638 O
0.134 0.152 0.138 O
0.297 0.733 0.005 O
0.761 0.081 0.124 O
0.877 0.425 0.369 O
0.894 0.329 0.138 O
0.703 0.267 0.995 O
0.936 0.836 0.107 O
0.228 0.393 0.833 O
0.623 0.075 0.869 O
0.306 0.098 0.703 O
0.152 0.357 0.017 O
0.772 0.607 0.167 O
0.203 0.767 0.505 O
0.261 0.581 0.376 O
0.123 0.575 0.631 O
0.848 0.643 0.983 O
0.878 0.168 0.322 O
0.239 0.919 0.876 O
0.442 0.728 0.831 O
0.272 0.107 0.333 O
0.797 0.233 0.495 O
0.348 0.143 0.517 O
0.613 0.779 0.057 O
0.564 0.664 0.607 O
0.728 0.893 0.667 O
0.622 0.332 0.822 O
0.064 0.164 0.893 O
0.739 0.419 0.624 O
0.122 0.832 0.678 O
0.113 0.279 0.443 O
0.866 0.848 0.862 O
0.634 0.652 0.362 O
0.797 0.717 0.088 P
0.397 0.196 0.628 P
0.603 0.804 0.372 P
0.282 0.770 0.888 P
0.203 0.283 0.912 P
0.087 0.717 0.602 P
0.718 0.230 0.112 P
0.782 0.270 0.612 P
0.913 0.283 0.398 P
0.297 0.217 0.412 P
0.218 0.730 0.388 P
0.103 0.304 0.128 P
0.587 0.217 0.898 P
0.897 0.696 0.872 P
0.703 0.783 0.588 P
0.413 0.783 0.102 P
0.557 0.507 0.727 Sn
0.057 0.007 0.773 Sn
0.943 0.993 0.227 Sn
0.443 0.493 0.273 Sn
0.621 0.901 0.803 Li
0.379 0.099 0.197 Li
0.121 0.401 0.697 Li
0.879 0.599 0.303 Li
```

## Properties
Excess energy over the best structure of this formula in the dataset = 0.044 eV/atom
VASP energy = -6.8504 eV/atom
SG = No. 14
Magnetization = 1.02 μB/f.u.
Formation energy without anion corrections = -2.0140 eV per atom

Entry 9:
LiSnPO4 after structural relaxation, computed with PBE.

Geometry as POSCAR:
```
LiSnPO4
1.0
7.158 0.000 0.000
0.000 9.603 -0.071
0.000 -0.089 16.467
O Sn P Li
48 12 12 12
Direct
0.802 0.060 0.248 O
0.913 0.033 0.594 O
0.933 0.541 0.088 O
0.753 0.350 0.004 O
0.278 0.171 0.347 O
0.413 0.467 0.906 O
0.297 0.666 0.661 O
0.771 0.545 0.422 O
0.219 0.169 0.687 O
0.382 0.139 0.825 O
0.247 0.650 0.996 O
0.203 0.166 0.161 O
0.590 0.813 0.968 O
0.618 0.861 0.175 O
0.719 0.331 0.813 O
0.747 0.850 0.504 O
0.565 0.349 0.482 O
0.722 0.829 0.653 O
0.781 0.831 0.313 O
0.935 0.849 0.982 O
0.967 0.852 0.179 O
0.410 0.187 0.032 O
0.882 0.361 0.675 O
0.729 0.045 0.922 O
0.433 0.959 0.412 O
0.533 0.352 0.679 O
0.281 0.669 0.187 O
0.118 0.639 0.325 O
0.467 0.648 0.321 O
0.778 0.329 0.153 O
0.698 0.560 0.748 O
0.222 0.671 0.847 O
0.567 0.041 0.588 O
0.271 0.955 0.078 O
0.229 0.455 0.578 O
0.090 0.687 0.532 O
0.435 0.651 0.518 O
0.587 0.533 0.094 O
0.253 0.150 0.496 O
0.910 0.313 0.468 O
0.033 0.148 0.821 O
0.198 0.940 0.752 O
0.067 0.459 0.912 O
0.797 0.834 0.839 O
0.302 0.440 0.252 O
0.703 0.334 0.339 O
0.065 0.151 0.018 O
0.087 0.967 0.406 O
0.774 0.032 0.395 Sn
0.733 0.086 0.787 Sn
0.267 0.914 0.213 Sn
0.233 0.414 0.713 Sn
0.274 0.468 0.105 Sn
0.268 0.870 0.939 Sn
0.732 0.130 0.061 Sn
0.232 0.370 0.439 Sn
0.726 0.532 0.895 Sn
0.226 0.968 0.605 Sn
0.768 0.630 0.561 Sn
0.767 0.586 0.287 Sn
0.266 0.620 0.572 P
0.710 0.402 0.726 P
0.266 0.059 0.413 P
0.734 0.941 0.587 P
0.290 0.598 0.274 P
0.790 0.902 0.226 P
0.766 0.880 0.928 P
0.234 0.559 0.913 P
0.734 0.380 0.428 P
0.766 0.441 0.087 P
0.234 0.120 0.072 P
0.210 0.098 0.774 P
0.500 0.764 0.423 Li
0.041 0.780 0.782 Li
0.500 0.236 0.577 Li
0.433 0.262 0.918 Li
0.959 0.220 0.218 Li
0.567 0.738 0.082 Li
0.541 0.720 0.718 Li
0.000 0.264 0.923 Li
0.000 0.736 0.077 Li
0.067 0.762 0.418 Li
0.459 0.280 0.282 Li
0.933 0.238 0.582 Li
```

## Properties
VASP energy = -6.4551 eV/atom
SG = No. 14
Magnetization = 0.00 μB/f.u.
Formation energy without anion corrections = -2.0038 eV per atom